Record 1
Compound: Na2CaSbH
Source: Alexandria via LeMat-Bulk
Functional: PBE
Structure: optimized geometry

Results
**VASP energy**: -0.2193 Ry/atom
**Spin magnetization**: 0.00 μB/cell

Cell and atoms, written as extended XYZ:
```
5
Lattice="-4.410 1.284 0.784 -1.376 -4.424 -0.496 0.659 -0.760 4.952" Properties=species:S:1:pos:R:3 pbc="T T T"
Sb -2.564 -1.950 2.620
Ca 0.329 -0.380 2.476
H 0.000 0.000 0.000
Na -0.688 -2.212 -0.248
Na -2.205 0.642 0.392
```

---

Record 2
Compound: Na2CaSiH
Source: Alexandria via LeMat-Bulk
Functional: PBE
Structure: optimized geometry

Results
**VASP energy**: -0.2061 Ry/atom
**Spin magnetization**: 0.00 μB/cell

Cell and atoms, written as extended XYZ:
```
5
Lattice="4.507 0.000 0.000 0.000 4.507 0.000 0.000 0.000 4.955" Properties=species:S:1:pos:R:3 pbc="T T T"
Na 0.000 2.253 0.000
Na 2.253 0.000 0.000
Ca 0.000 0.000 2.478
Si 2.253 2.253 2.478
H 0.000 0.000 0.000
```

---

Record 3
Compound: Na2CaSnH
Source: Alexandria via LeMat-Bulk
Functional: PBE
Structure: optimized geometry

Results
**VASP energy**: -0.1993 Ry/atom
**Spin magnetization**: 0.00 μB/cell

Cell and atoms, written as extended XYZ:
```
5
Lattice="-2.320 4.012 -1.044 -3.972 -1.809 1.877 1.247 1.880 4.452" Properties=species:S:1:pos:R:3 pbc="T T T"
Na -1.986 -0.904 0.938
Na -1.160 2.006 -0.522
Ca 0.624 0.940 2.226
Sn -2.523 2.042 2.642
H 0.000 0.000 0.000
```

---

Record 4
Compound: Na2SrCaH
Source: Alexandria via LeMat-Bulk
Functional: PBE
Structure: optimized geometry

Results
**VASP energy**: -0.1422 Ry/atom
**Spin magnetization**: 0.00 μB/cell

Cell and atoms, written as extended XYZ:
```
5
Lattice="-5.502 1.966 -0.206 -1.764 -4.609 3.134 0.733 2.475 4.053" Properties=species:S:1:pos:R:3 pbc="T T T"
Sr 0.366 1.238 2.027
Ca -3.267 -0.084 3.491
H 0.000 0.000 0.000
Na -0.882 -2.305 1.567
Na -2.751 0.983 -0.103
```

---

Which value of VASP energy does entry 4 give? -0.1422 Ry/atom

---

Copy entry 2 word for word.
Compound: Na2CaSiH
Source: Alexandria via LeMat-Bulk
Functional: PBE
Structure: optimized geometry

Results
**VASP energy**: -0.2061 Ry/atom
**Spin magnetization**: 0.00 μB/cell

Cell and atoms, written as extended XYZ:
```
5
Lattice="4.507 0.000 0.000 0.000 4.507 0.000 0.000 0.000 4.955" Properties=species:S:1:pos:R:3 pbc="T T T"
Na 0.000 2.253 0.000
Na 2.253 0.000 0.000
Ca 0.000 0.000 2.478
Si 2.253 2.253 2.478
H 0.000 0.000 0.000
```

---

Copy entry 4 word for word.
Compound: Na2SrCaH
Source: Alexandria via LeMat-Bulk
Functional: PBE
Structure: optimized geometry

Results
**VASP energy**: -0.1422 Ry/atom
**Spin magnetization**: 0.00 μB/cell

Cell and atoms, written as extended XYZ:
```
5
Lattice="-5.502 1.966 -0.206 -1.764 -4.609 3.134 0.733 2.475 4.053" Properties=species:S:1:pos:R:3 pbc="T T T"
Sr 0.366 1.238 2.027
Ca -3.267 -0.084 3.491
H 0.000 0.000 0.000
Na -0.882 -2.305 1.567
Na -2.751 0.983 -0.103
```

---

Look up the spin magnetization of the third one. 0.00 μB/cell